No. 1
Entry from the Alexandria database: crystalline BaZr2W at its relaxed geometry (GGA-PBE).

- E_form: 1.365 eV/f.u.
- N(E_F): 1.212 states/eV per atom
- Density: 7.560 g/cm³
- Volume: 27.7 Å³ per atom
- Energy relative to the lowest polymorph listed for this composition: 0.000 eV per atom

a b c (Å): 3.401 3.401 9.564
angles (deg): 90.00 90.09 90.00
Space group P2/m (No. 10)
Asymmetric unit:
Ba1 0.000 0.000 0.000
Zr1 0.499 0.500 0.338
W1 0.000 0.000 0.500

***

No. 2
Entry from the Alexandria database: crystalline InGaHg at its relaxed geometry (GGA-PBE).

- E_form: 0.128 eV/f.u.
- N(E_F): 0.447 states/eV per atom
- Density: 8.696 g/cm³
- Volume: 24.5 Å³ per atom

a b c (Å): 3.223 4.209 10.879
angles (deg): 90.00 94.68 90.00
Space group P2_1 (No. 4)
Asymmetric unit:
In1 0.132 0.000 0.281
Ga1 0.286 0.001 0.563
Hg1 0.366 0.501 0.092

***

No. 3
Entry from the Alexandria database: crystalline BeCo2GeH at its relaxed geometry (GGA-PBE).

- Energy: -5.334 eV/atom
- N(E_F): 0.300 states/eV per atom
- Density: 7.558 g/cm³
- Volume: 8.8 Å³ per atom

a b c (Å): 3.639 3.639 3.327
angles (deg): 90.00 90.00 90.00
Space group P4/mmm (No. 123)
Asymmetric unit:
Be1 0.000 0.000 0.000
Co1 0.000 0.500 0.500
Ge1 0.500 0.500 0.000
H1 0.000 0.000 0.500

***

No. 4
Entry from the Alexandria database: crystalline Nd6MgTc2 at its relaxed geometry (GGA-PBE).

- E_form: 0.155 eV/f.u.
- N(E_F): 1.120 states/eV per atom
- Density: 6.788 g/cm³
- Volume: 29.5 Å³ per atom

a b c (Å): 9.979 10.007 10.640
angles (deg): 90.00 90.00 90.00
Space group Immm (No. 71)
Asymmetric unit:
Nd1 0.000 0.216 0.229
Nd2 0.206 0.500 0.189
Nd3 0.214 0.309 0.500
Mg1 0.000 0.000 0.000
Mg2 0.000 0.000 0.500
Tc1 0.000 0.379 0.000
Tc2 0.000 0.500 0.389

***

No. 5
Entry from the Alexandria database: crystalline LiPaPdRu at its relaxed geometry (GGA-PBE).

- E_form: -1.331 eV/f.u.
- N(E_F): 0.811 states/eV per atom
- Density: 10.487 g/cm³
- Volume: 17.6 Å³ per atom

a b c (Å): 6.559 6.559 6.559
angles (deg): 90.00 90.00 90.00
Space group F-43m (No. 216)
Asymmetric unit:
Li1 0.000 0.000 0.000
Pa1 0.000 0.000 0.500
Pd1 0.250 0.250 0.750
Ru1 0.250 0.250 0.250

***

No. 6
Entry from the Alexandria database: crystalline LiHg3F6 at its relaxed geometry (GGA-PBE).

- N(E_F): 0.204 states/eV per atom
- E_form (uncorrected): -1609 meV per atom
- Density: 7.538 g/cm³
- Volume: 15.9 Å³ per atom
- Energy relative to the lowest polymorph listed for this composition: 0.009 eV per atom

a b c (Å): 9.9343 9.9343 11.1762
angles (deg): 90.00 90.00 120.00
Space group R-3 (No. 148, hexagonal axes)
Asymmetric unit:
Li1 0.0000 0.0000 0.0000
Li2 0.0000 0.0000 0.5000
Hg1 0.0449 0.2704 0.1970
F1 0.0294 0.1989 0.4024
F2 0.0318 0.1844 0.8898

***

No. 7
Entry from the Alexandria database: crystalline Y5Ge10Ir4 at its relaxed geometry (GGA-PBE).

- E_form: -14.895 eV/f.u.
- N(E_F): 0.482 states/eV per atom
- Density: 8.690 g/cm³
- Volume: 19.5 Å³ per atom

a b c (Å): 13.046 13.046 4.356
angles (deg): 90.00 90.00 90.00
Space group P4/mbm (No. 127)
Asymmetric unit:
Y1 0.000 0.000 0.000
Y2 0.115 0.385 0.500
Y3 0.174 0.674 0.500
Ge1 0.004 0.843 0.500
Ge2 0.067 0.567 0.000
Ge3 0.164 0.200 0.000
Ir1 0.020 0.754 0.000

***

No. 8
Entry from the Alexandria database: crystalline CsNaBiTe2 at its relaxed geometry (GGA-PBE).

- N(E_F): 0.195 states/eV per atom
- E_form (uncorrected): -518 meV per atom
- Density: 5.242 g/cm³
- Volume: 39.3 Å³ per atom

a b c (Å): 7.107 14.792 7.474
angles (deg): 90.00 90.00 90.00
Space group Cmme (No. 67)
Asymmetric unit:
Cs1 0.000 0.250 0.218
Na1 0.250 0.000 0.500
Bi1 0.000 0.000 0.000
Te1 0.000 0.147 0.713

***

Among the records above, which one has the highest density?
LiPaPdRu

***

Which value of density does entry 3 give?
7.558 g/cm³

***

Which of these has the lowest volume?
BeCo2GeH

***

What is the formula in the seventh record?
Y5Ge10Ir4